Material: MgCuTc2
Method: DFT, PBE
State: optimized geometry

Output
Calculated volume (Å³ per atom): 14.9
Fermi-level density of states (states/eV per cell): 3.00
Symmetry: Pm (6)
Energy of formation (meV/atom): 182
DFT total energy (eV for the cell shown): -25.69

Cell: 4.3601 2.6601 5.1837 Å, 81.69 90.00 90.00°
Sites, in units of the cell vectors:
Tc 0.5000 0.2449 0.2266
Tc 0.0000 0.0368 0.0298
Mg 0.5000 0.7544 0.7289
Cu 0.0000 0.4639 0.5147